w.
## NbNiN2F (GGA+U)

Data for an optimized crystal structure of NbNiN2F.

Structure (CIF):
```
data_NbNiN2F
_chemical_formula_sum 'Nb1 Ni1 N2 F1'
_cell_length_a 3.761
_cell_length_b 3.761
_cell_length_c 3.533
_cell_angle_alpha 90.00
_cell_angle_beta 90.00
_cell_angle_gamma 90.00
_space_group_name_H-M_alt 'P 4/m m m'
_space_group_IT_number 123
_space_group_name_Hall '-P 4 2'
loop_
_atom_site_label
_atom_site_type_symbol
_atom_site_fract_x
_atom_site_fract_y
_atom_site_fract_z
Nb1 Nb 0.000 0.000 0.000
Ni1 Ni 0.500 0.500 0.500
N1 N 0.000 0.500 0.500
F1 F 0.500 0.500 0.000
```

---

x.
## NbNiN2F (GGA+U)

Data for an optimized crystal structure of NbNiN2F.

Structure (CIF):
```
data_NbNiN2F
_chemical_formula_sum 'Nb1 Ni1 N2 F1'
_cell_length_a 4.077
_cell_length_b 4.077
_cell_length_c 4.028
_cell_angle_alpha 90.00
_cell_angle_beta 90.00
_cell_angle_gamma 90.00
_space_group_name_H-M_alt 'P 4/m m m'
_space_group_IT_number 123
_space_group_name_Hall '-P 4 2'
loop_
_atom_site_label
_atom_site_type_symbol
_atom_site_fract_x
_atom_site_fract_y
_atom_site_fract_z
Nb1 Nb 0.000 0.000 0.000
Ni1 Ni 0.500 0.500 0.500
N1 N 0.000 0.500 0.000
F1 F 0.000 0.000 0.500
```

---

According to the calculations, the structures order from most to least stable as x, w.